VASP calculation (PBE) on Sr2Li2Cd after structural relaxation.

Computed properties:
Spin magnetization, μB per formula unit: 0.00
E above lowest polymorph, meV/atom: 8

Unit cell a=6.0410 b=5.0935 c=6.5276 alpha=67.04 beta=62.44 gamma=90.00
Last column: nearest neighbours and their distance in Å.
Sites, in units of the cell vectors:
Sr (0.6957, 0.1957, 0.6085)  6 Li 3.49-3.61, 2 Cd 3.64
Sr (0.3043, 0.8043, 0.3915)  6 Li 3.49-3.61, 2 Cd 3.64
Li (0.2437, 0.5000, 0.0000)  2 Cd 2.94, 2 Li 2.94-3.10
Li (0.7563, 0.5000, 0.0000)  2 Cd 2.94, 2 Li 2.94-3.10
Cd (0.0000, 0.0000, 0.0000)  4 Li 2.94

=====

VASP calculation (PBE) on SrLi4Cd2 after structural relaxation.

Computed properties:
Spin magnetization, μB per formula unit: 0.00
E above lowest polymorph, meV/atom: 246

Unit cell a=6.3022 b=6.3022 c=6.3022 alpha=109.55 beta=109.55 gamma=109.32
Last column: nearest neighbours and their distance in Å.
Sites, in units of the cell vectors:
Sr (0.0000, 0.0000, 0.0000)  16 Li 4.06-4.07, 8 Cd 4.07
Li (0.7471, 0.5000, 0.2471)  2 Li 2.54, 2 Cd 2.59
Li (0.5000, 0.7471, 0.2471)  2 Li 2.54, 2 Cd 2.59
Li (0.5000, 0.2529, 0.7529)  2 Li 2.54, 2 Cd 2.59
Li (0.2529, 0.5000, 0.7529)  2 Li 2.54, 2 Cd 2.59
Cd (0.2500, 0.7500, 0.5000)  4 Li 2.59
Cd (0.7500, 0.2500, 0.5000)  4 Li 2.59

=====

VASP calculation (PBE) on SrLi2Cd after structural relaxation.

Computed properties:
Spin magnetization, μB per formula unit: 0.00

Unit cell a=4.5461 b=5.0176 c=5.1474 alpha=90.00 beta=90.00 gamma=90.00
Last column: nearest neighbours and their distance in Å.
Sites, in units of the cell vectors:
Cd (0.0000, 0.5000, 0.5000)  4 Sr 3.39, 8 Li 3.43-3.59
Li (0.0000, 0.0000, 0.0000)  4 Li 3.39, 4 Sr 3.43, 4 Cd 3.59
Li (0.5000, 0.5000, 0.0000)  4 Li 3.39, 4 Cd 3.43, 4 Sr 3.59
Sr (0.5000, 0.0000, 0.5000)  4 Cd 3.39, 8 Li 3.43-3.59

=====

VASP calculation (PBE) on Sr4LiCd2 after structural relaxation.

Computed properties:
Spin magnetization, μB per formula unit: 0.00
E above lowest polymorph, meV/atom: 39

Unit cell a=5.7357 b=5.7357 c=10.4475 alpha=74.07 beta=74.07 gamma=60.00
Last column: nearest neighbours and their distance in Å.
Sites, in units of the cell vectors:
Sr (0.7082, 0.7082, 0.8754)  4 Cd 3.47-3.51
Sr (0.8779, 0.8779, 0.3662)  3 Li 3.57, 3 Cd 3.58
Sr (0.2918, 0.2918, 0.1246)  4 Cd 3.47-3.51
Sr (0.1221, 0.1221, 0.6338)  3 Li 3.57, 3 Cd 3.58
Li (0.5000, 0.5000, 0.5000)  2 Cd 2.68
Cd (0.5902, 0.5902, 0.2293)  1 Li 2.68
Cd (0.4098, 0.4098, 0.7707)  1 Li 2.68

=====

VASP calculation (PBE) on Sr2LiCd after structural relaxation.

Computed properties:
Spin magnetization, μB per formula unit: 0.00

Unit cell a=6.7282 b=6.7282 c=6.7282 alpha=136.46 beta=136.46 gamma=63.27
Last column: nearest neighbours and their distance in Å.
Sites, in units of the cell vectors:
Cd (0.5000, 0.5000, 0.0000)  8 Sr 3.53-3.80, 4 Li 3.80
Li (0.7500, 0.2500, 0.5000)  8 Sr 3.53-3.80, 4 Cd 3.80
Sr (0.0000, 0.0000, 0.0000)  4 Cd 3.53, 4 Li 3.80, 4 Sr 3.80
Sr (0.2500, 0.7500, 0.5000)  4 Li 3.53, 4 Cd 3.80, 4 Sr 3.80

=====

VASP calculation (PBE) on SrLi6Cd after structural relaxation.

Computed properties:
Spin magnetization, μB per formula unit: 0.00
E above lowest polymorph, meV/atom: 0

Unit cell a=4.8352 b=7.6263 c=6.3708 alpha=126.77 beta=90.00 gamma=90.00
Last column: nearest neighbours and their distance in Å.
Sites, in units of the cell vectors:
Sr (0.5000, 0.6237, 0.2474)  8 Li 3.18-3.32
Li (0.5000, 0.1233, 0.7496)  4 Li 3.08-3.09, 2 Cd 3.18-3.19, 2 Sr 3.18-3.19
Li (0.5000, 0.6263, 0.7496)  4 Li 3.08-3.09, 2 Cd 3.18-3.19, 2 Sr 3.18-3.19
Li (0.0000, 0.3281, 0.2511)  3 Li 2.78-3.09, 2 Cd 2.87
Li (0.0000, 0.9230, 0.2511)  3 Li 2.78-3.09, 2 Cd 2.87
Li (0.0000, 0.3522, 0.7045)  6 Li 2.78-3.09
Li (0.0000, 0.8983, 0.7966)  6 Li 2.79-3.08
Cd (0.5000, 0.1250, 0.2501)  8 Li 2.87-3.19

=====

VASP calculation (PBE) on SrLi2Cd10 after structural relaxation.

Computed properties:
Spin magnetization, μB per formula unit: 0.00

Unit cell a=5.6175 b=7.7836 c=7.7235 alpha=82.46 beta=68.67 gamma=68.85
Last column: nearest neighbours and their distance in Å.
Sites, in units of the cell vectors:
Sr (0.0000, 0.0000, 0.0000)  16 Cd 3.58-3.86, 4 Li 3.89
Li (0.0000, 0.5000, 0.0000)  2 Li 2.81, 8 Cd 2.84-2.98
Li (0.5000, 0.5000, 0.0000)  2 Li 2.81, 8 Cd 2.84-2.98
Cd (0.3501, 0.6379, 0.6620)  2 Li 2.98, 6 Cd 3.07-3.20
Cd (0.6499, 0.3621, 0.3380)  2 Li 2.98, 6 Cd 3.07-3.20
Cd (0.9879, 0.3621, 0.6620)  2 Li 2.98, 6 Cd 3.07-3.20
Cd (0.0121, 0.6379, 0.3380)  2 Li 2.98, 6 Cd 3.07-3.20
Cd (0.0000, 0.0000, 0.5000)  6 Cd 2.81-3.03
Cd (0.5000, 0.0000, 0.5000)  6 Cd 2.81-3.03
Cd (0.2819, 0.2287, 0.2074)  2 Li 2.84, 6 Cd 2.98-3.12
Cd (0.7181, 0.7713, 0.7926)  2 Li 2.84, 6 Cd 2.98-3.12
Cd (0.5106, 0.7713, 0.2074)  2 Li 2.84, 6 Cd 2.98-3.12
Cd (0.4894, 0.2287, 0.7926)  2 Li 2.84, 6 Cd 2.98-3.12

=====

VASP calculation (PBE) on SrLi2Cd after structural relaxation.

Computed properties:
Spin magnetization, μB per formula unit: 0.00

Unit cell a=4.7666 b=4.7666 c=11.1088 alpha=77.61 beta=77.61 gamma=90.00
Last column: nearest neighbours and their distance in Å.
Sites, in units of the cell vectors:
Sr (0.5000, 0.5000, 0.0000)  4 Cd 3.37, 4 Li 3.39
Sr (0.2500, 0.7500, 0.5000)  4 Cd 3.37, 4 Li 3.39
Li (0.7430, 0.1250, 0.2500)  2 Li 2.70, 2 Cd 2.97
Li (0.0070, 0.6250, 0.2500)  2 Li 2.70, 2 Cd 2.97
Li (0.3750, 0.2570, 0.7500)  2 Li 2.70, 2 Cd 2.97
Li (0.8750, 0.9930, 0.7500)  2 Li 2.70, 2 Cd 2.97
Cd (0.0000, 0.0000, 0.0000)  4 Li 2.97
Cd (0.7500, 0.2500, 0.5000)  4 Li 2.97

=====

no.,formation energy from the elements (eV per atom)
1,-0.13
2,0.09
3,-0.04
4,-0.11
5,-0.05
6,-0.01
7,-0.19
8,0.00